Compound: LiPmNi2As2
Source: Alexandria via LeMat-Bulk
Functional: PBE-GGA
Structure: relaxed

The structure in POSCAR format:
```
LiPmNi2As2
1.0
4.094 0.000 0.000
-2.047 3.546 0.000
0.000 0.000 6.656
Li Pm Ni As
1 1 2 2
Cartesian
0.000 0.000 0.000
0.000 0.000 3.328
0.000 2.364 1.072
2.047 1.182 5.584
0.000 2.364 5.229
2.047 1.182 1.427
```

Properties
As for the density of states at the Fermi level: 0.72 states/eV per atom. Its calculated formation energy is -813 meV per atom. The value obtained for the theoretical density is 7.20 g cm⁻³. The symmetry is No. 164.